An optimized crystal structure of PrAlCd2. Source: Alexandria, functional GGA-PBE.

a = 4.5012 Å, b = 4.5012 Å, c = 4.8557 Å
α = 90.00°, β = 90.00°, γ = 90.00°
Closest atoms and distances in Å follow each position.
Element x y z (fractional)
Pr (0.0000, 0.0000, 0.0000)  4 Al 3.18, 8 Cd 3.31
Al (0.5000, 0.5000, 0.0000)  4 Pr 3.18, 8 Cd 3.31
Cd (0.0000, 0.5000, 0.5000)  4 Cd 3.18, 4 Al 3.31, 4 Pr 3.31
Cd (0.5000, 0.0000, 0.5000)  4 Cd 3.18, 4 Al 3.31, 4 Pr 3.31

## Properties
V ... 98.4 Å³ per cell
Space group ... P4/mmm (123)
Final energy ... -2.8443 eV/atom
Formation energy from the elements ... -0.26 eV/atom

An optimized crystal structure of CdIn2Pb7. Source: Alexandria, functional GGA-PBE.

a = 9.5724 Å, b = 9.5724 Å, c = 4.5583 Å
α = 90.00°, β = 90.00°, γ = 120.34°
Closest atoms and distances in Å follow each position.
Element x y z (fractional)
Cd (0.0000, 0.0000, 0.0000)  10 Pb 3.13-3.38
In (0.3124, 0.6876, 0.5000)  5 Pb 3.07-3.25
In (0.6876, 0.3124, 0.5000)  5 Pb 3.07-3.25
Pb (0.0941, 0.2947, 0.5000)  1 In 3.25, 4 Pb 3.28-3.35, 2 Cd 3.38
Pb (0.1886, 0.8114, 0.0000)  2 In 3.07, 1 Cd 3.13, 4 Pb 3.28
Pb (0.2947, 0.0941, 0.5000)  1 In 3.25, 4 Pb 3.28-3.35, 2 Cd 3.38
Pb (0.5000, 0.5000, 0.5000)  2 In 3.12, 4 Pb 3.35
Pb (0.7053, 0.9059, 0.5000)  1 In 3.25, 4 Pb 3.28-3.35, 2 Cd 3.38
Pb (0.8114, 0.1886, 0.0000)  2 In 3.07, 1 Cd 3.13, 4 Pb 3.28
Pb (0.9059, 0.7053, 0.5000)  1 In 3.25, 4 Pb 3.28-3.35, 2 Cd 3.38

## Properties
V ... 360.5 Å³ per cell
Space group ... Cmmm (65)
Final energy ... -3.0321 eV/atom
Formation energy from the elements ... 0.20 eV/atom

An optimized crystal structure of CaGa. Source: Alexandria, functional GGA-PBE.

a = 8.6750 Å, b = 8.6750 Å, c = 5.0547 Å
α = 90.00°, β = 90.00°, γ = 120.00°
Closest atoms and distances in Å follow each position.
Element x y z (fractional)
Ca (0.1827, 0.3654, 0.2500)  6 Ga 3.07-3.22
Ca (0.1827, 0.8173, 0.2500)  6 Ga 3.07-3.22
Ca (0.3654, 0.1827, 0.7500)  6 Ga 3.07-3.22
Ca (0.6346, 0.8173, 0.2500)  6 Ga 3.07-3.22
Ca (0.8173, 0.1827, 0.7500)  6 Ga 3.07-3.22
Ca (0.8173, 0.6346, 0.7500)  6 Ga 3.07-3.22
Ga (0.1323, 0.5662, 0.7500)  2 Ga 2.62
Ga (0.4338, 0.5662, 0.7500)  2 Ga 2.62
Ga (0.4338, 0.8677, 0.7500)  2 Ga 2.62
Ga (0.5662, 0.1323, 0.2500)  2 Ga 2.62
Ga (0.5662, 0.4338, 0.2500)  2 Ga 2.62
Ga (0.8677, 0.4338, 0.2500)  2 Ga 2.62

## Properties
V ... 329.4 Å³ per cell
Space group ... P6_3/mmc (194)
Final energy ... -2.8654 eV/atom
Formation energy from the elements ... -0.35 eV/atom

An optimized crystal structure of Ce3Ga5. Source: Alexandria, functional GGA-PBE.

a = 6.1989 Å, b = 6.1989 Å, c = 9.5421 Å
α = 90.00°, β = 90.00°, γ = 78.34°
Closest atoms and distances in Å follow each position.
Element x y z (fractional)
Ce (0.1339, 0.8661, 0.7500)  7 Ga 3.00-3.22
Ce (0.2905, 0.2905, 0.0000)  10 Ga 3.06-3.27
Ce (0.2905, 0.2905, 0.5000)  10 Ga 3.06-3.27
Ce (0.7095, 0.7095, 0.0000)  10 Ga 3.06-3.27
Ce (0.7095, 0.7095, 0.5000)  10 Ga 3.06-3.27
Ce (0.8661, 0.1339, 0.2500)  7 Ga 3.00-3.22
Ga (0.0170, 0.5744, 0.2500)  3 Ga 2.68-2.81
Ga (0.2050, 0.7950, 0.0590)  3 Ga 2.68-2.81, 1 Ce 3.00
Ga (0.2050, 0.7950, 0.4410)  3 Ga 2.68-2.81, 1 Ce 3.00
Ga (0.4256, 0.9830, 0.2500)  3 Ga 2.68-2.81
Ga (0.4784, 0.5216, 0.2500)  4 Ga 2.81, 5 Ce 3.04-3.13
Ga (0.5216, 0.4784, 0.7500)  4 Ga 2.81, 5 Ce 3.04-3.13
Ga (0.5744, 0.0170, 0.7500)  3 Ga 2.68-2.81
Ga (0.7950, 0.2050, 0.5590)  3 Ga 2.68-2.81, 1 Ce 3.00
Ga (0.7950, 0.2050, 0.9410)  3 Ga 2.68-2.81, 1 Ce 3.00
Ga (0.9830, 0.4256, 0.7500)  3 Ga 2.68-2.81

## Properties
V ... 359.1 Å³ per cell
Space group ... Cmcm (63)
Final energy ... -4.6917 eV/atom
Formation energy from the elements ... -0.57 eV/atom

An optimized crystal structure of MnCr2Rh. Source: Alexandria, functional GGA-PBE.

a = 5.9836 Å, b = 5.9836 Å, c = 5.9836 Å
α = 90.00°, β = 90.00°, γ = 90.00°
Closest atoms and distances in Å follow each position.
Element x y z (fractional)
Mn (0.0000, 0.0000, 0.0000)  4 Cr 2.59, 4 Rh 2.59
Mn (0.0000, 0.5000, 0.5000)  4 Cr 2.59, 4 Rh 2.59
Mn (0.5000, 0.0000, 0.5000)  4 Cr 2.59, 4 Rh 2.59
Mn (0.5000, 0.5000, 0.0000)  4 Cr 2.59, 4 Rh 2.59
Cr (0.0000, 0.0000, 0.5000)  4 Cr 2.59, 4 Rh 2.59
Cr (0.0000, 0.5000, 0.0000)  4 Cr 2.59, 4 Rh 2.59
Cr (0.2500, 0.2500, 0.7500)  4 Cr 2.59, 4 Mn 2.59
Cr (0.2500, 0.7500, 0.2500)  4 Cr 2.59, 4 Mn 2.59
Cr (0.5000, 0.0000, 0.0000)  4 Cr 2.59, 4 Rh 2.59
Cr (0.5000, 0.5000, 0.5000)  4 Cr 2.59, 4 Rh 2.59
Cr (0.7500, 0.2500, 0.2500)  4 Cr 2.59, 4 Mn 2.59
Cr (0.7500, 0.7500, 0.7500)  4 Cr 2.59, 4 Mn 2.59
Rh (0.2500, 0.2500, 0.2500)  4 Cr 2.59, 4 Mn 2.59
Rh (0.2500, 0.7500, 0.7500)  4 Cr 2.59, 4 Mn 2.59
Rh (0.7500, 0.2500, 0.7500)  4 Cr 2.59, 4 Mn 2.59
Rh (0.7500, 0.7500, 0.2500)  4 Cr 2.59, 4 Mn 2.59

## Properties
E above lowest polymorph ... 23 meV per atom
V ... 214.2 Å³ per cell
Space group ... F-43m (216)
Final energy ... -8.9231 eV/atom
Formation energy from the elements ... 0.02 eV/atom

An optimized crystal structure of CsDyIn2. Source: Alexandria, functional GGA-PBE.

a = 3.9072 Å, b = 3.9072 Å, c = 9.1959 Å
α = 90.00°, β = 90.00°, γ = 90.00°
Closest atoms and distances in Å follow each position.
Element x y z (fractional)
Cs (0.0000, 0.0000, 0.0000)  4 Cs 3.91, 8 In 4.02
Dy (0.0000, 0.0000, 0.5000)  8 In 3.24
In (0.5000, 0.5000, 0.3168)  4 Dy 3.24, 1 In 3.37
In (0.5000, 0.5000, 0.6832)  4 Dy 3.24, 1 In 3.37

## Properties
V ... 140.4 Å³ per cell
Space group ... P4/mmm (123)
Final energy ... -2.9326 eV/atom
Formation energy from the elements ... -0.20 eV/atom

An optimized crystal structure of Ta3GeH3. Source: Alexandria, functional GGA-PBE.

a = 6.4767 Å, b = 6.4767 Å, c = 6.4767 Å
α = 53.95°, β = 53.95°, γ = 53.95°
Closest atoms and distances in Å follow each position.
Element x y z (fractional)
Ta (0.0907, 0.3688, 0.8056)  4 H 1.96-2.14
Ta (0.1944, 0.9093, 0.6312)  4 H 1.96-2.14
Ta (0.3688, 0.8056, 0.0907)  4 H 1.96-2.14
Ta (0.6312, 0.1944, 0.9093)  4 H 1.96-2.14
Ta (0.8056, 0.0907, 0.3688)  4 H 1.96-2.14
Ta (0.9093, 0.6312, 0.1944)  4 H 1.96-2.14
Ge (0.3330, 0.3330, 0.3330)  6 Ta 2.58-2.59, 6 H 2.79-2.83
Ge (0.6670, 0.6670, 0.6670)  6 Ta 2.58-2.59, 6 H 2.79-2.83
H (0.1212, 0.7599, 0.5010)  4 Ta 1.96-2.14
H (0.2401, 0.4990, 0.8788)  4 Ta 1.96-2.14
H (0.4990, 0.8788, 0.2401)  4 Ta 1.96-2.14
H (0.5010, 0.1212, 0.7599)  4 Ta 1.96-2.14
H (0.7599, 0.5010, 0.1212)  4 Ta 1.96-2.14
H (0.8788, 0.2401, 0.4990)  4 Ta 1.96-2.14

## Properties
V ... 165.0 Å³ per cell
Space group ... R-3 (148)
Final energy ... -7.1048 eV/atom

An optimized crystal structure of NdAg6. Source: Alexandria, functional GGA-PBE.

a = 6.3753 Å, b = 6.3753 Å, c = 6.3753 Å
α = 90.00°, β = 90.00°, γ = 90.00°
Closest atoms and distances in Å follow each position.
Element x y z (fractional)
Nd (0.0000, 0.0000, 0.0000)  24 Ag 4.68
Ag (0.1982, 0.5000, 0.5000)  5 Ag 2.53-2.72
Ag (0.5000, 0.1982, 0.5000)  5 Ag 2.53-2.72
Ag (0.5000, 0.5000, 0.1982)  5 Ag 2.53-2.72
Ag (0.5000, 0.5000, 0.8018)  5 Ag 2.53-2.72
Ag (0.5000, 0.8018, 0.5000)  5 Ag 2.53-2.72
Ag (0.8018, 0.5000, 0.5000)  5 Ag 2.53-2.72

## Properties
E above lowest polymorph ... 1033 meV per atom
V ... 259.1 Å³ per cell
Space group ... Pm-3m (221)
Final energy ... -2.2135 eV/atom
Formation energy from the elements ... 0.91 eV/atom

- What is the formula in the third record?
  CaGa